## A
The following is a DFT calculation (PBE) of a relaxed structure of Nb2GaPtO.

Unit cell a=4.1183 b=4.1183 c=4.5443 alpha=90.00 beta=90.00 gamma=90.00
Closest atoms and distances in Å follow each position.
Atoms (fractional coordinates):
Nb1 0.0000 0.5000 0.0000  2 O 2.06
Nb2 0.5000 0.0000 0.0000  2 O 2.06
Ga1 0.0000 0.0000 0.5000  2 O 2.27
Pt1 0.5000 0.5000 0.5000  4 Ga 2.91, 8 Nb 3.07
O1 0.0000 0.0000 0.0000  4 Nb 2.06, 2 Ga 2.27

SG: P4/mmm

---

## B
The following is a DFT calculation (PBE) of a relaxed structure of Nb2GaPtO.

Unit cell a=4.8158 b=4.8158 c=4.4444 alpha=90.00 beta=90.00 gamma=90.00
Closest atoms and distances in Å follow each position.
Atoms (fractional coordinates):
Nb1 0.0000 0.5000 0.0000  2 Ga 2.41
Nb2 0.5000 0.0000 0.0000  2 Ga 2.41
Ga1 0.0000 0.0000 0.0000  2 Pt 2.22, 4 Nb 2.41
Pt1 0.0000 0.0000 0.5000  2 Ga 2.22
O1 0.5000 0.5000 0.5000  8 Nb 3.28, 4 Pt 3.41

SG: P4/mmm

---

Least stable structure: B